Entry 1:
Density functional theory data (meta-GGA SCAN) for LiCaOs at its PBEsol-relaxed geometry.

Computed properties:
- E above lowest polymorph: 2.581 eV per formula unit
- Magnetic moment: 1.14 μB/cell
- Energy relative to the elements: 1.456 eV/atom

a b c (Å): 4.567 4.567 4.567
angles (deg): 60.00 60.00 60.00
Last column: magnetic moment on the atom in μB.
Fractional coordinates of all 3 atoms:
1 Ca 0.250 0.250 0.250  0.01
2 Os 0.500 0.500 0.500  1.14
3 Li 0.000 0.000 0.000  -0.02

Entry 2:
Density functional theory data (meta-GGA SCAN) for Li3CaP at its PBEsol-relaxed geometry.

Computed properties:
- Magnetic moment: 0.00 μB/cell
- Energy relative to the elements: -0.338 eV/atom

a b c (Å): 4.724 4.724 4.724
angles (deg): 90.00 90.00 90.00
Fractional coordinates of all 5 atoms:
1 Li 0.000 0.500 0.000
2 Li 0.500 0.000 0.000
3 Li 0.000 0.000 0.500
4 Ca 0.500 0.500 0.500
5 P 0.000 0.000 0.000

Entry 3:
Density functional theory data (meta-GGA SCAN) for LiCaP2 at its PBEsol-relaxed geometry.

Computed properties:
- Magnetic moment: 0.00 μB/cell
- Energy relative to the elements: -0.286 eV/atom

a b c (Å): 3.294 3.294 8.207
angles (deg): 78.42 78.42 60.00
Fractional coordinates of all 4 atoms:
1 P 0.744 0.744 0.768
2 P 0.256 0.256 0.232
3 Ca 0.500 0.500 0.500
4 Li 0.000 0.000 0.000

Entry 4:
Density functional theory data (meta-GGA SCAN) for Li2Ca2P at its PBEsol-relaxed geometry.

Computed properties:
- Magnetic moment: 0.00 μB/cell
- Energy relative to the elements: -0.331 eV/atom

a b c (Å): 4.674 6.740 6.740
angles (deg): 90.00 90.00 90.00
Fractional coordinates of all 10 atoms:
1 Li 0.000 0.138 0.362
2 Li 0.000 0.362 0.862
3 Li 0.000 0.638 0.138
4 Li 0.000 0.862 0.638
5 Ca 0.500 0.306 0.194
6 Ca 0.500 0.806 0.306
7 Ca 0.500 0.694 0.806
8 Ca 0.500 0.194 0.694
9 P 0.000 0.000 0.000
10 P 0.000 0.500 0.500